DFT (meta-GGA SCAN) results for SrBe2Ru at its PBEsol-relaxed geometry.

CIF file:
```
data_SrBe2Ru
_space_group_name_H-M_alt 'P 1 m 1'
_space_group_IT_number 6
_cell_length_a 3.147
_cell_length_b 3.409
_cell_length_c 6.267
_cell_angle_alpha 90.00
_cell_angle_beta 104.26
_cell_angle_gamma 90.00
loop_
_space_group_symop_operation_xyz
'x,y,z'
'x,-y,z'
loop_
_atom_site_label
_atom_site_type_symbol
_atom_site_fract_x
_atom_site_fract_y
_atom_site_fract_z
_atom_site_occupancy
Sr1 Sr 0.000 0.000 0.000 1
Be1 Be 0.661 0.500 0.331 1
Be2 Be 0.762 0.000 0.536 1
Ru1 Ru 0.288 0.500 0.587 1
```

Properties
* ΔE to the lowest computed polymorph: 0 meV per atom
* energy of formation: 0.11 eV/atom
* total moment: 0.00 μB per cell
* Fermi-level density of states: 0.194 states/eV/atom

---

DFT (meta-GGA SCAN) results for Y5Cd at its PBEsol-relaxed geometry.

CIF file:
```
data_Y5Cd
_space_group_name_H-M_alt 'C m m m'
_space_group_IT_number 65
_space_group_name_Hall '-C 2 2'
_cell_length_a 4.785
_cell_length_b 14.907
_cell_length_c 4.783
_cell_angle_alpha 90.00
_cell_angle_beta 90.00
_cell_angle_gamma 90.00
loop_
_atom_site_label
_atom_site_type_symbol
_atom_site_fract_x
_atom_site_fract_y
_atom_site_fract_z
_atom_site_occupancy
Y1 Y 0.000 0.000 0.000 1
Y2 Y 0.000 0.162 0.500 1
Y3 Y 0.000 0.332 0.000 1
Cd1 Cd 0.000 0.500 0.500 1
```

Properties
* ΔE to the lowest computed polymorph: 50 meV per atom
* energy of formation: -0.08 eV/atom
* total moment: 0.00 μB per cell
* Fermi-level density of states: 1.184 states/eV/atom

---

DFT (meta-GGA SCAN) results for Rb2LiHoCl6 at its PBEsol-relaxed geometry.

CIF file:
```
data_Rb2LiHoCl6
_space_group_name_H-M_alt 'F m -3 m'
_space_group_IT_number 225
_space_group_name_Hall '-F 4 2 3'
_cell_length_a 10.216
_cell_length_b 10.216
_cell_length_c 10.216
_cell_angle_alpha 90.00
_cell_angle_beta 90.00
_cell_angle_gamma 90.00
loop_
_atom_site_label
_atom_site_type_symbol
_atom_site_fract_x
_atom_site_fract_y
_atom_site_fract_z
_atom_site_occupancy
Rb1 Rb 0.250 0.250 0.250 1
Li1 Li 0.000 0.000 0.000 1
Ho1 Ho 0.000 0.000 0.500 1
Cl1 Cl 0.000 0.000 0.247 1
```

Properties
* total moment: 0.00 μB per cell
* Fermi-level density of states: 0.000 states/eV/atom
* raw total energy: -16.42 eV/atom

---

DFT (meta-GGA SCAN) results for Be2CuAu at its PBEsol-relaxed geometry.

CIF file:
```
data_Be2CuAu
_space_group_name_H-M_alt 'C 1 m 1'
_space_group_IT_number 8
_cell_length_a 8.419
_cell_length_b 2.789
_cell_length_c 4.012
_cell_angle_alpha 90.00
_cell_angle_beta 108.16
_cell_angle_gamma 90.00
loop_
_space_group_symop_operation_xyz
'x,y,z'
'x,-y,z'
'x+1/2,y+1/2,z'
'x+1/2,-y+1/2,z'
loop_
_atom_site_label
_atom_site_type_symbol
_atom_site_fract_x
_atom_site_fract_y
_atom_site_fract_z
_atom_site_occupancy
Be1 Be 0.000 0.000 0.000 1
Be2 Be 0.232 0.500 0.313 1
Cu1 Cu 0.477 0.000 0.472 1
Au1 Au 0.253 0.000 0.828 1
```

Properties
* energy of formation: -0.21 eV/atom
* total moment: 0.00 μB per cell
* Fermi-level density of states: 0.199 states/eV/atom

---

DFT (meta-GGA SCAN) results for NaNbAu3 at its PBEsol-relaxed geometry.

CIF file:
```
data_NaNbAu3
_space_group_name_H-M_alt 'P m -3 m'
_space_group_IT_number 221
_space_group_name_Hall '-P 4 2 3'
_cell_length_a 5.101
_cell_length_b 5.101
_cell_length_c 5.101
_cell_angle_alpha 90.00
_cell_angle_beta 90.00
_cell_angle_gamma 90.00
loop_
_atom_site_label
_atom_site_type_symbol
_atom_site_fract_x
_atom_site_fract_y
_atom_site_fract_z
_atom_site_occupancy
Na1 Na 0.000 0.000 0.000 1
Nb1 Nb 0.500 0.500 0.500 1
Au1 Au 0.000 0.500 0.500 1
```

Properties
* ΔE to the lowest computed polymorph: 0 meV per atom
* energy of formation: 0.36 eV/atom
* total moment: 0.00 μB per cell
* Fermi-level density of states: 0.448 states/eV/atom

---

DFT (meta-GGA SCAN) results for RbPrMo2O8 at its PBEsol-relaxed geometry.

CIF file:
```
data_RbPrMo2O8
_space_group_name_H-M_alt 'P 4/n n c'
_space_group_IT_number 126
_cell_length_a 6.297
_cell_length_b 6.297
_cell_length_c 9.582
_cell_angle_alpha 90.00
_cell_angle_beta 90.00
_cell_angle_gamma 90.00
loop_
_space_group_symop_operation_xyz
'x,y,z'
'-x,-y,-z'
'-y+1/2,x,z'
'y+1/2,-x,-z'
'-x+1/2,-y+1/2,z'
'x+1/2,y+1/2,-z'
'y,-x+1/2,z'
'-y,x+1/2,-z'
'x,-y+1/2,-z+1/2'
'-x,y+1/2,z+1/2'
'-y+1/2,-x+1/2,-z+1/2'
'y+1/2,x+1/2,z+1/2'
'-x+1/2,y,-z+1/2'
'x+1/2,-y,z+1/2'
'y,x,-z+1/2'
'-y,-x,z+1/2'
loop_
_atom_site_label
_atom_site_type_symbol
_atom_site_fract_x
_atom_site_fract_y
_atom_site_fract_z
_atom_site_occupancy
Rb1 Rb 0.250 0.250 0.250 1
Pr1 Pr 0.250 0.250 0.750 1
Mo1 Mo 0.250 0.750 0.000 1
O1 O 0.056 0.635 0.110 1
```

Properties
* total moment: 0.00 μB per cell
* Fermi-level density of states: 0.000 states/eV/atom
* raw total energy: -17.94 eV/atom

---

DFT (meta-GGA SCAN) results for TcSb at its PBEsol-relaxed geometry.

CIF file:
```
data_TcSb
_space_group_name_H-M_alt 'I m m a'
_space_group_IT_number 74
_space_group_name_Hall '-I 2b 2'
_cell_length_a 3.202
_cell_length_b 4.371
_cell_length_c 10.048
_cell_angle_alpha 90.00
_cell_angle_beta 90.00
_cell_angle_gamma 90.00
loop_
_atom_site_label
_atom_site_type_symbol
_atom_site_fract_x
_atom_site_fract_y
_atom_site_fract_z
_atom_site_occupancy
Tc1 Tc 0.000 0.250 0.117 1
Sb1 Sb 0.000 0.250 0.613 1
```

Properties
* ΔE to the lowest computed polymorph: 333 meV per atom
* total moment: 0.00 μB per cell
* Fermi-level density of states: 0.776 states/eV/atom

---

DFT (meta-GGA SCAN) results for Mg3Fe3P4O16 at its PBEsol-relaxed geometry.

CIF file:
```
data_Mg3Fe3P4O16
_space_group_name_H-M_alt 'P 1'
_space_group_IT_number 1
_cell_length_a 5.102
_cell_length_b 7.669
_cell_length_c 8.227
_cell_angle_alpha 88.59
_cell_angle_beta 89.88
_cell_angle_gamma 85.14
loop_
_space_group_symop_operation_xyz
'x,y,z'
loop_
_atom_site_label
_atom_site_type_symbol
_atom_site_fract_x
_atom_site_fract_y
_atom_site_fract_z
_atom_site_occupancy
Mg1 Mg 0.000 0.000 0.000 1
Mg2 Mg 0.099 0.894 0.360 1
Mg3 Mg 0.503 0.502 0.501 1
Fe1 Fe 0.412 0.603 0.867 1
Fe2 Fe 0.595 0.402 0.134 1
Fe3 Fe 0.906 0.113 0.640 1
P1 P 0.040 0.306 0.302 1
P2 P 0.461 0.194 0.804 1
P3 P 0.541 0.809 0.199 1
P4 P 0.967 0.698 0.698 1
O1 O 0.059 0.756 0.868 1
O2 O 0.065 0.144 0.420 1
O3 O 0.185 0.561 0.642 1
O4 O 0.190 0.118 0.803 1
O5 O 0.308 0.386 0.298 1
O6 O 0.317 0.945 0.145 1
O7 O 0.440 0.350 0.922 1
O8 O 0.450 0.743 0.369 1
O9 O 0.549 0.258 0.633 1
O10 O 0.565 0.655 0.079 1
O11 O 0.677 0.054 0.861 1
O12 O 0.698 0.619 0.702 1
O13 O 0.809 0.886 0.202 1
O14 O 0.822 0.442 0.360 1
O15 O 0.947 0.249 0.132 1
O16 O 0.947 0.857 0.577 1
```

Properties
* total moment: 0.04 μB per cell
* raw total energy: -10.55 eV/atom

---

DFT (meta-GGA SCAN) results for Rb2NiHPd at its PBEsol-relaxed geometry.

CIF file:
```
data_Rb2NiHPd
_space_group_name_H-M_alt 'P 4/m m m'
_space_group_IT_number 123
_space_group_name_Hall '-P 4 2'
_cell_length_a 6.216
_cell_length_b 6.216
_cell_length_c 4.549
_cell_angle_alpha 90.00
_cell_angle_beta 90.00
_cell_angle_gamma 90.00
loop_
_atom_site_label
_atom_site_type_symbol
_atom_site_fract_x
_atom_site_fract_y
_atom_site_fract_z
_atom_site_occupancy
Rb1 Rb 0.000 0.500 0.000 1
Ni1 Ni 0.000 0.000 0.500 1
H1 H 0.500 0.500 0.500 1
Pd1 Pd 0.000 0.000 0.000 1
```

Properties
* total moment: 1.37 μB per cell
* Fermi-level density of states: 0.456 states/eV/atom
* raw total energy: -18.18 eV/atom

---

DFT (meta-GGA SCAN) results for CsTcPd3 at its PBEsol-relaxed geometry.

CIF file:
```
data_CsTcPd3
_space_group_name_H-M_alt 'P m -3 m'
_space_group_IT_number 221
_space_group_name_Hall '-P 4 2 3'
_cell_length_a 4.870
_cell_length_b 4.870
_cell_length_c 4.870
_cell_angle_alpha 90.00
_cell_angle_beta 90.00
_cell_angle_gamma 90.00
loop_
_atom_site_label
_atom_site_type_symbol
_atom_site_fract_x
_atom_site_fract_y
_atom_site_fract_z
_atom_site_occupancy
Cs1 Cs 0.000 0.000 0.000 1
Tc1 Tc 0.500 0.500 0.500 1
Pd1 Pd 0.000 0.500 0.500 1
```

Properties
* energy of formation: 0.87 eV/atom
* total moment: 0.00 μB per cell
* Fermi-level density of states: 0.944 states/eV/atom

---

DFT (meta-GGA SCAN) results for La4AlAu at its PBEsol-relaxed geometry.

CIF file:
```
data_La4AlAu
_space_group_name_H-M_alt 'F -4 3 m'
_space_group_IT_number 216
_space_group_name_Hall 'F -4 2 3'
_cell_length_a 8.814
_cell_length_b 8.814
_cell_length_c 8.814
_cell_angle_alpha 90.00
_cell_angle_beta 90.00
_cell_angle_gamma 90.00
loop_
_atom_site_label
_atom_site_type_symbol
_atom_site_fract_x
_atom_site_fract_y
_atom_site_fract_z
_atom_site_occupancy
La1 La 0.124 0.124 0.124 1
Al1 Al 0.250 0.250 0.750 1
Au1 Au 0.000 0.000 0.500 1
```

Properties
* energy of formation: 0.22 eV/atom
* total moment: 0.00 μB per cell
* Fermi-level density of states: 1.098 states/eV/atom